This record from the Open Quantum Materials Database describes a relaxed structure of LiCuReGe. The functional is PBE.

Computed properties:
Crystal system: cubic
Raw total energy: -81.186 eV per cell

Lattice parameters (Å, degrees): 5.9665 5.9665 5.9665 90.00 90.00 90.00
Closest atoms and distances in Å follow each position.
Space group F-43m (No. 216)
Inequivalent atoms, fractional coordinates:
Li: 0.0000 0.0000 0.0000 (multiplicity 4)  4 Ge 2.58, 4 Re 2.58
Cu: 0.0000 0.0000 0.5000 (multiplicity 4)  4 Ge 2.58, 4 Re 2.58
Re: 0.2500 0.2500 0.7500 (multiplicity 4)  4 Li 2.58, 4 Cu 2.58
Ge: 0.2500 0.2500 0.2500 (multiplicity 4)  4 Cu 2.58, 4 Li 2.58

---

This record from the Open Quantum Materials Database describes a relaxed structure of LiCuReGe. The functional is PBE.

Computed properties:
Crystal system: cubic
Raw total energy: -86.471 eV per cell

Lattice parameters (Å, degrees): 5.9349 5.9349 5.9349 90.00 90.00 90.00
Closest atoms and distances in Å follow each position.
Space group F-43m (No. 216)
Inequivalent atoms, fractional coordinates:
Li: 0.0000 0.0000 0.0000 (multiplicity 4)  4 Re 2.57, 4 Cu 2.57
Cu: 0.2500 0.2500 0.7500 (multiplicity 4)  4 Ge 2.57, 4 Li 2.57
Re: 0.2500 0.2500 0.2500 (multiplicity 4)  4 Ge 2.57, 4 Li 2.57
Ge: 0.0000 0.0000 0.5000 (multiplicity 4)  4 Re 2.57, 4 Cu 2.57